VHN2O | PBE+U | optimized geometry

Properties
Calculated volume ... 57.4 Å³/f.u.
Total DFT energy (no corrections) ... -27.81 eV/cell
D(E_F) ... 1.38 states/eV per cell

Lattice parameters (Å, degrees): 3.944 3.944 3.687 90.00 90.00 90.00
Sites, in units of the cell vectors:
V 0.000 0.000 0.000
H 0.500 0.500 0.500
N 0.000 0.500 0.000
N 0.500 0.000 0.000
O 0.000 0.000 0.500